1.
Below is crystalline ScSe2I at its relaxed geometry, with properties calculated at the GGA-PBE level.

a = 4.091 Å, b = 4.091 Å, c = 24.945 Å
α = 90.00°, β = 90.00°, γ = 120.00°
Atoms (fractional coordinates):
Sc (0.000, 0.000, 0.000)
Sc (0.333, 0.667, 0.667)
Sc (0.667, 0.333, 0.333)
Se (0.000, 0.000, 0.389)
Se (0.000, 0.000, 0.611)
Se (0.333, 0.667, 0.056)
Se (0.333, 0.667, 0.277)
Se (0.667, 0.333, 0.723)
Se (0.667, 0.333, 0.944)
I (0.000, 0.000, 0.500)
I (0.333, 0.667, 0.167)
I (0.667, 0.333, 0.833)

Values from the calculation:
Density of states at the Fermi level, states/eV/f.u.: 0.2
Energy relative to the lowest polymorph listed for this composition, eV/f.u.: 0.000
Spin magnetization, μB/cell: 0.0


2.
Below is crystalline Sc3Se3I at its relaxed geometry, with properties calculated at the GGA-PBE level.

a = 9.525 Å, b = 9.525 Å, c = 9.525 Å
α = 109.47°, β = 109.47°, γ = 109.47°
Atoms (fractional coordinates):
Sc (0.000, 0.488, 0.736)
Sc (0.000, 0.736, 0.488)
Sc (0.248, 0.512, 0.512)
Sc (0.264, 0.264, 0.752)
Sc (0.264, 0.752, 0.264)
Sc (0.488, 0.000, 0.736)
Sc (0.488, 0.736, 0.000)
Sc (0.512, 0.248, 0.512)
Sc (0.512, 0.512, 0.248)
Sc (0.736, 0.000, 0.488)
Sc (0.736, 0.488, 0.000)
Sc (0.752, 0.264, 0.264)
Se (0.000, 0.242, 0.492)
Se (0.000, 0.492, 0.242)
Se (0.242, 0.000, 0.492)
Se (0.242, 0.492, 0.000)
Se (0.250, 0.758, 0.758)
Se (0.492, 0.000, 0.242)
Se (0.492, 0.242, 0.000)
Se (0.508, 0.508, 0.750)
Se (0.508, 0.750, 0.508)
Se (0.750, 0.508, 0.508)
Se (0.758, 0.250, 0.758)
Se (0.758, 0.758, 0.250)
I (0.000, 0.000, 0.758)
I (0.000, 0.758, 0.000)
I (0.242, 0.242, 0.242)
I (0.758, 0.000, 0.000)

Values from the calculation:
Density of states at the Fermi level, states/eV/f.u.: 2.6
E_tot, eV/atom: -6.01
Spin magnetization, μB/cell: 0.0


3.
Below is crystalline Sc2SeI2 at its relaxed geometry, with properties calculated at the GGA-PBE level.

a = 6.952 Å, b = 4.014 Å, c = 11.385 Å
α = 90.00°, β = 103.26°, γ = 90.00°
Atoms (fractional coordinates):
Sc (0.213, 0.000, 0.125)
Sc (0.287, 0.500, 0.875)
Sc (0.713, 0.500, 0.125)
Sc (0.787, 0.000, 0.875)
Se (0.000, 0.500, 0.000)
Se (0.500, 0.000, 0.000)
I (0.055, 0.000, 0.704)
I (0.445, 0.500, 0.296)
I (0.555, 0.500, 0.704)
I (0.945, 0.000, 0.296)

Values from the calculation:
Density of states at the Fermi level, states/eV/f.u.: 2.6
E_tot, eV/atom: -5.22
Spin magnetization, μB/cell: 0.0


4.
Below is crystalline Sc2SeI3 at its relaxed geometry, with properties calculated at the GGA-PBE level.

a = 10.597 Å, b = 10.597 Å, c = 14.390 Å
α = 131.50°, β = 131.50°, γ = 21.66°
Atoms (fractional coordinates):
Sc (0.082, 0.082, 0.198)
Sc (0.369, 0.369, 0.065)
Sc (0.631, 0.631, 0.935)
Sc (0.918, 0.918, 0.802)
Se (0.092, 0.092, 0.013)
Se (0.908, 0.908, 0.987)
I (0.179, 0.179, 0.834)
I (0.278, 0.278, 0.676)
I (0.459, 0.459, 0.686)
I (0.541, 0.541, 0.314)
I (0.722, 0.722, 0.324)
I (0.821, 0.821, 0.166)

Values from the calculation:
Density of states at the Fermi level, states/eV/f.u.: 4.2
E_tot, eV/atom: -4.72
Spin magnetization, μB/cell: 1.8


5.
Below is crystalline ScSe3I at its relaxed geometry, with properties calculated at the GGA-PBE level.

a = 5.349 Å, b = 5.349 Å, c = 5.349 Å
α = 90.00°, β = 90.00°, γ = 90.00°
Atoms (fractional coordinates):
Sc (0.000, 0.000, 0.000)
Se (0.000, 0.500, 0.500)
Se (0.500, 0.000, 0.500)
Se (0.500, 0.500, 0.000)
I (0.500, 0.500, 0.500)

Values from the calculation:
Density of states at the Fermi level, states/eV/f.u.: 5.0
Energy relative to the lowest polymorph listed for this composition, eV/f.u.: 3.588
Spin magnetization, μB/cell: 0.4


6.
Below is crystalline Sc2SeI at its relaxed geometry, with properties calculated at the GGA-PBE level.

a = 7.025 Å, b = 7.025 Å, c = 7.025 Å
α = 90.00°, β = 90.00°, γ = 90.00°
Atoms (fractional coordinates):
Sc (0.250, 0.250, 0.250)
Sc (0.250, 0.250, 0.750)
Sc (0.250, 0.750, 0.250)
Sc (0.250, 0.750, 0.750)
Sc (0.750, 0.250, 0.250)
Sc (0.750, 0.250, 0.750)
Sc (0.750, 0.750, 0.250)
Sc (0.750, 0.750, 0.750)
Se (0.000, 0.000, 0.000)
Se (0.000, 0.500, 0.500)
Se (0.500, 0.000, 0.500)
Se (0.500, 0.500, 0.000)
I (0.000, 0.000, 0.500)
I (0.000, 0.500, 0.000)
I (0.500, 0.000, 0.000)
I (0.500, 0.500, 0.500)

Values from the calculation:
Density of states at the Fermi level, states/eV/f.u.: 3.9
Energy relative to the lowest polymorph listed for this composition, eV/f.u.: 0.912
Spin magnetization, μB/cell: 0.0


7.
Below is crystalline ScSe2I at its relaxed geometry, with properties calculated at the GGA-PBE level.

a = 7.195 Å, b = 7.195 Å, c = 7.195 Å
α = 90.00°, β = 90.00°, γ = 90.00°
Atoms (fractional coordinates):
Sc (0.000, 0.000, 0.000)
Sc (0.000, 0.500, 0.500)
Sc (0.500, 0.000, 0.500)
Sc (0.500, 0.500, 0.000)
Se (0.250, 0.250, 0.250)
Se (0.250, 0.250, 0.750)
Se (0.250, 0.750, 0.250)
Se (0.250, 0.750, 0.750)
Se (0.750, 0.250, 0.250)
Se (0.750, 0.250, 0.750)
Se (0.750, 0.750, 0.250)
Se (0.750, 0.750, 0.750)
I (0.000, 0.000, 0.500)
I (0.000, 0.500, 0.000)
I (0.500, 0.000, 0.000)
I (0.500, 0.500, 0.500)

Values from the calculation:
Density of states at the Fermi level, states/eV/f.u.: 5.0
Energy relative to the lowest polymorph listed for this composition, eV/f.u.: 3.033
Spin magnetization, μB/cell: 0.0


8.
Below is crystalline ScSe3I at its relaxed geometry, with properties calculated at the GGA-PBE level.

a = 5.205 Å, b = 5.205 Å, c = 5.205 Å
α = 90.00°, β = 90.00°, γ = 90.00°
Atoms (fractional coordinates):
Sc (0.000, 0.000, 0.000)
Se (0.000, 0.000, 0.500)
Se (0.000, 0.500, 0.000)
Se (0.500, 0.000, 0.000)
I (0.500, 0.500, 0.500)

Values from the calculation:
Density of states at the Fermi level, states/eV/f.u.: 6.7
Energy relative to the lowest polymorph listed for this composition, eV/f.u.: 0.000
Spin magnetization, μB/cell: 0.0


9.
Below is crystalline Sc2SeI at its relaxed geometry, with properties calculated at the GGA-PBE level.

a = 6.313 Å, b = 6.313 Å, c = 12.603 Å
α = 90.00°, β = 90.00°, γ = 90.00°
Atoms (fractional coordinates):
Sc (0.207, 0.250, 0.125)
Sc (0.250, 0.707, 0.375)
Sc (0.250, 0.793, 0.875)
Sc (0.293, 0.250, 0.625)
Sc (0.707, 0.750, 0.625)
Sc (0.750, 0.207, 0.875)
Sc (0.750, 0.293, 0.375)
Sc (0.793, 0.750, 0.125)
Se (0.000, 0.000, 0.000)
Se (0.000, 0.500, 0.250)
Se (0.500, 0.000, 0.750)
Se (0.500, 0.500, 0.500)
I (0.000, 0.000, 0.500)
I (0.000, 0.500, 0.750)
I (0.500, 0.000, 0.250)
I (0.500, 0.500, 0.000)

Values from the calculation:
Density of states at the Fermi level, states/eV/f.u.: 4.0
Energy relative to the lowest polymorph listed for this composition, eV/f.u.: 1.424
Spin magnetization, μB/cell: 0.0


10.
Below is crystalline ScSe2I at its relaxed geometry, with properties calculated at the GGA-PBE level.

a = 3.783 Å, b = 3.783 Å, c = 28.777 Å
α = 90.00°, β = 90.00°, γ = 120.00°
Atoms (fractional coordinates):
Sc (0.000, 0.000, 0.000)
Sc (0.333, 0.667, 0.667)
Sc (0.667, 0.333, 0.333)
Se (0.000, 0.000, 0.086)
Se (0.000, 0.000, 0.914)
Se (0.333, 0.667, 0.581)
Se (0.333, 0.667, 0.753)
Se (0.667, 0.333, 0.247)
Se (0.667, 0.333, 0.419)
I (0.000, 0.000, 0.500)
I (0.333, 0.667, 0.167)
I (0.667, 0.333, 0.833)

Values from the calculation:
Density of states at the Fermi level, states/eV/f.u.: 4.9
Energy relative to the lowest polymorph listed for this composition, eV/f.u.: 4.953
Spin magnetization, μB/cell: 0.0


11.
Below is crystalline Sc2SeI at its relaxed geometry, with properties calculated at the GGA-PBE level.

a = 4.153 Å, b = 4.153 Å, c = 23.711 Å
α = 90.00°, β = 90.00°, γ = 120.00°
Atoms (fractional coordinates):
Sc (0.000, 0.000, 0.118)
Sc (0.000, 0.000, 0.882)
Sc (0.333, 0.667, 0.548)
Sc (0.333, 0.667, 0.785)
Sc (0.667, 0.333, 0.215)
Sc (0.667, 0.333, 0.452)
Se (0.000, 0.000, 0.500)
Se (0.333, 0.667, 0.167)
Se (0.667, 0.333, 0.833)
I (0.000, 0.000, 0.000)
I (0.333, 0.667, 0.667)
I (0.667, 0.333, 0.333)

Values from the calculation:
Density of states at the Fermi level, states/eV/f.u.: 4.2
Energy relative to the lowest polymorph listed for this composition, eV/f.u.: 0.468
Spin magnetization, μB/cell: 2.2


12.
Below is crystalline Sc2SeI2 at its relaxed geometry, with properties calculated at the GGA-PBE level.

a = 7.337 Å, b = 7.337 Å, c = 8.371 Å
α = 114.03°, β = 114.03°, γ = 47.47°
Atoms (fractional coordinates):
Sc (0.018, 0.018, 0.214)
Sc (0.300, 0.300, 0.411)
Sc (0.700, 0.700, 0.589)
Sc (0.982, 0.982, 0.786)
Se (0.159, 0.159, 0.083)
Se (0.841, 0.841, 0.917)
I (0.167, 0.167, 0.612)
I (0.483, 0.483, 0.253)
I (0.517, 0.517, 0.747)
I (0.833, 0.833, 0.388)

Values from the calculation:
Density of states at the Fermi level, states/eV/f.u.: 2.6
E_tot, eV/atom: -4.91
Spin magnetization, μB/cell: 0.0